# 1
SrZn2Ir2: optimized geometry, GGA-PBEsol.

Lattice parameters (Å, degrees): 4.3195 4.3195 10.0775 90.00 90.00 90.00
Closest atoms and distances in Å follow each position.
Space group I4/mmm (No. 139)
Asymmetric unit:
Sr: 0.0000 0.0000 0.0000 [2 per cell]  8 Ir 3.28, 8 Zn 3.32
Zn: 0.0000 0.5000 0.2500 [4 per cell]  4 Ir 2.53
Ir: 0.0000 0.0000 0.3812 [4 per cell]  1 Ir 2.39, 4 Zn 2.53

Calculated values
**Formation energy**: -0.19 eV per atom
**E_tot**: -0.188 hartree per atom


# 2
ZrMnFe: optimized geometry, GGA-PBEsol.

Lattice parameters (Å, degrees): 8.0470 4.8448 8.4006 90.00 90.00 90.00
Closest atoms and distances in Å follow each position.
Space group Amm2 (No. 38)
Asymmetric unit:
Zr: 0.1852 0.0000 0.0000 [4 per cell]  7 Fe 2.84-2.85, 5 Mn 2.84-2.88, 4 Zr 2.98
Zr: 0.3126 0.0000 0.6669 [4 per cell]  5 Fe 2.84-2.87, 7 Mn 2.85-2.88, 4 Zr 2.98-3.02
Mn: 0.0000 0.0000 0.4993 [2 per cell]  6 Fe 2.42-2.46
Mn: 0.5000 0.0000 0.1639 [2 per cell]  4 Mn 2.38-2.47, 2 Fe 2.45
Mn: 0.5000 0.2451 0.9184 [4 per cell]  4 Mn 2.37-2.47, 2 Fe 2.45
Fe: 0.0000 0.2489 0.7490 [4 per cell]  4 Fe 2.41-2.47, 2 Mn 2.42-2.43
Fe: 0.2524 0.0000 0.3335 [4 per cell]  4 Mn 2.45-2.46, 2 Fe 2.47

Calculated values
**Formation energy**: -0.22 eV per atom
**E_tot**: -0.349 hartree per atom